A plane-wave DFT calculation with PBE was carried out for a relaxed Rb3SeBr6 crystal.

Its uncorrected formation energy is -0.99 eV per atom. Its size of the total moment is 1.0 μB per formula unit.

Geometry as extended XYZ:
```
10
Lattice="-4.092 4.092 6.402 4.092 -4.092 6.402 4.092 4.092 -6.402" Properties=species:S:1:pos:R:3 pbc="T T T"
Rb 0.000 0.000 0.000
Rb 4.092 0.000 3.201
Rb 0.000 4.092 3.201
Se 0.000 0.000 6.402
Br 0.000 0.000 3.257
Br 2.278 2.278 0.000
Br 1.814 -1.814 6.402
Br -1.814 1.814 6.402
Br 1.814 1.814 6.402
Br 0.000 0.000 9.547
```

---

A plane-wave DFT calculation with PBE was carried out for a relaxed Rb2SeBr5 crystal.

Its uncorrected formation energy is -0.90 eV per atom. Its size of the total moment is 1.0 μB per formula unit.

Geometry as extended XYZ:
```
8
Lattice="-3.931 3.931 5.083 3.931 -3.931 5.083 3.931 3.931 -5.083" Properties=species:S:1:pos:R:3 pbc="T T T"
Rb 3.931 0.000 0.000
Rb 0.000 3.931 0.000
Se 0.000 0.000 2.585
Br 2.093 2.093 -2.601
Br 1.838 -1.838 2.483
Br -1.838 1.838 2.483
Br 1.838 1.838 2.483
Br 0.000 0.000 5.442
```